No. 1
7
Lattice="-7.714 4.555 4.555 -4.555 4.555 7.714 -4.555 7.714 4.555" Properties=species:S:1:pos:R:3 comment="Ni2Sb2Pb3 (PBE, optimized geometry)" final_energy_ev_per_atom=-4.181 space_group="No. 160" density_g_cm3=9.7 pbc="T T T"
Pb -5.879 5.879 5.879
Pb -14.722 14.722 14.722
Pb -10.340 10.340 10.340
Ni -4.266 4.266 4.266
Ni -12.052 12.052 12.052
Sb -1.441 1.441 1.441
Sb -8.082 8.082 8.082


No. 2
3
Lattice="0.000 3.749 3.749 3.749 0.000 3.749 3.749 3.749 0.000" Properties=species:S:1:pos:R:3 comment="PrDyMg (PBE, optimized geometry)" final_energy_ev_per_atom=-3.254 space_group="No. 216" de_polymorph_kj_per_mol_fu=0 density_g_cm3=5.2 pbc="T T T"
Mg 0.000 0.000 0.000
Dy 1.875 1.875 1.875
Pr 5.624 5.624 5.624


No. 3
96
Lattice="-5.924 5.182 9.133 -10.134 -0.073 -6.531 -1.952 -7.722 3.115" Properties=species:S:1:pos:R:3 comment="SbIrC2O2F6 (PBE, optimized geometry)" final_energy_ev_per_atom=-5.890 space_group="No. 118" density_g_cm3=5.2 pbc="T T T"
F -13.781 -1.373 1.226
F -7.287 -1.516 4.095
F -7.380 -2.918 -1.641
F -9.501 -3.269 3.650
F -12.441 0.445 2.616
F -3.772 0.258 4.145
F -13.065 -6.665 -1.905
F -14.337 4.897 3.835
F -1.983 -0.950 2.968
F -9.094 -2.729 8.586
F -6.674 -0.080 -2.855
F -7.761 -5.437 -0.730
F -9.625 -3.414 -0.321
F -5.790 -0.126 5.948
F -11.911 -1.270 -0.721
F -8.509 0.655 2.067
F -13.549 -2.523 6.885
F -9.988 -0.176 4.367
F -11.224 -1.038 8.005
F -1.456 -5.760 2.324
F -7.909 -1.991 1.170
F -13.261 0.990 0.015
F -5.141 -5.122 6.039
F -8.223 -4.676 1.563
F -9.206 -5.591 -2.713
F -4.990 2.682 5.372
F -9.663 -0.426 9.803
F -10.878 -2.257 5.897
F -5.164 -1.459 2.457
F -10.376 1.307 6.954
F -5.940 -3.791 0.472
F -1.833 -0.235 -1.052
F -10.856 0.864 0.512
F -0.496 -1.962 0.792
F -6.783 -3.225 10.557
F -3.578 0.480 1.380
F -10.835 -1.544 1.803
F -12.377 -0.040 5.737
F -9.637 4.186 5.862
F -12.884 3.029 1.868
F -15.166 1.740 1.377
F -4.482 -2.243 4.896
F -6.061 0.842 3.463
F -14.566 -4.211 2.389
F -6.104 -6.595 1.456
F -11.375 1.209 -2.279
F -10.463 -6.007 -0.398
F -8.788 -0.800 6.684
Sb -10.565 -0.377 6.149
Sb -5.532 -0.844 4.219
Sb -9.082 -6.923 -1.333
Sb -2.361 0.924 2.774
Sb -10.553 -2.122 9.645
Sb -7.771 -3.527 0.090
Sb -14.023 2.894 0.349
Sb -12.151 -0.479 0.977
C -12.320 -3.724 4.348
C -3.360 -2.121 0.205
C -7.279 -5.177 3.906
C -6.659 -1.228 8.695
C -10.467 2.349 3.435
C -8.674 0.970 -0.851
C -7.550 1.287 8.019
C -6.284 0.016 0.274
C -14.790 -0.316 3.869
C -3.582 -3.731 2.427
C -10.096 -2.467 -2.880
C -7.745 2.705 4.032
C -13.956 2.251 4.405
C -11.486 -4.197 1.709
C -12.044 -4.129 -1.870
C -7.782 -3.395 6.017
O -3.979 -1.849 -0.723
O -6.121 -0.824 -0.491
O -7.986 1.959 4.876
O -7.558 2.112 7.215
O -12.574 -2.684 3.925
O -6.684 -3.111 6.196
O -10.832 2.390 4.523
O -6.552 -4.347 3.575
O -14.601 -1.438 4.051
O -12.884 -4.091 -1.088
O -4.244 -4.480 2.999
O -12.382 -3.682 1.208
O -13.135 2.778 5.011
O -9.616 -1.421 -2.831
O -8.907 -0.155 -0.941
O -6.021 -2.065 8.235
Ir -15.421 1.381 3.614
Ir -7.501 0.237 9.516
Ir -9.497 -4.047 5.611
Ir -2.275 -2.753 1.603
Ir -9.672 2.382 1.733
Ir -6.699 1.484 1.370
Ir -10.151 -5.047 2.721
Ir -10.822 -4.092 -3.297


No. 4
8
Lattice="-3.462 0.581 0.782 0.408 -5.138 5.624 1.551 7.334 1.416" Properties=species:S:1:pos:R:3 comment="Tm2LuIn3Pd2 (PBE, optimized geometry)" final_energy_ev_per_atom=-4.732 space_group="No. 38" density_g_cm3=9.8 pbc="T T T"
Pd -0.561 3.465 3.210
Pd -0.942 -0.688 4.612
In -0.229 1.974 5.787
In -1.635 -0.908 1.704
In -1.369 2.002 0.722
Tm 0.903 4.269 0.824
Tm 0.237 -2.991 3.274
Lu 0.819 0.918 2.943


No. 5
4
Lattice="4.396 -2.152 1.126 1.598 -0.105 4.760 0.098 -4.342 2.520" Properties=species:S:1:pos:R:3 comment="FeGeBi2 (PBE, optimized geometry)" final_energy_ev_per_atom=-4.566 space_group="No. 216" density_g_cm3=10.1 pbc="T T T"
Bi 4.569 -4.950 6.304
Bi 0.000 0.000 0.000
Ge 3.046 -3.300 4.203
Fe 1.523 -1.650 2.101


No. 6
4
Lattice="4.052 -1.038 -1.868 2.726 -3.085 2.010 0.644 -4.098 -1.943" Properties=species:S:1:pos:R:3 comment="LiGaTeOs (PBE, optimized geometry)" final_energy_ev_per_atom=-4.346 space_group="No. 216" de_polymorph_kj_per_mol_fu=172 density_g_cm3=9.6 pbc="T T T"
Ga 1.855 -2.055 -0.450
Li 5.566 -6.166 -1.351
Os 0.000 0.000 0.000
Te 3.711 -4.111 -0.901


No. 7
12
Lattice="3.019 -8.562 0.285 7.380 -5.234 0.802 4.144 -6.230 5.149" Properties=species:S:1:pos:R:3 comment="TbGd2Al7Cu2 (PBE, optimized geometry)" final_energy_ev_per_atom=-4.457 space_group="No. 166" density_g_cm3=5.9 pbc="T T T"
Cu 4.877 -6.716 2.091
Cu 9.667 -13.310 4.145
Al 4.700 -8.981 3.219
Al 6.348 -8.474 1.004
Al 6.921 -7.286 3.482
Al 7.623 -12.739 2.754
Al 8.196 -11.551 5.232
Al 9.844 -11.044 3.018
Al 7.272 -10.013 3.118
Gd 2.064 -2.842 0.885
Gd 12.480 -17.183 5.351
Tb 0.000 0.000 0.000


No. 8
5
Lattice="5.118 -4.241 0.606 5.382 -0.048 3.948 -6.618 0.758 -0.430" Properties=species:S:1:pos:R:3 comment="LiSi2Au2 (PBE, optimized geometry)" final_energy_ev_per_atom=-3.891 space_group="No. 139" density_g_cm3=8.6 pbc="T T T"
Au 6.392 -2.611 2.772
Au 4.108 -1.679 1.782
Li 0.000 0.000 0.000
Si 1.875 -2.814 1.227
Si 2.007 -0.718 2.898


No. 9
9
Lattice="7.507 0.000 0.000 -3.754 6.501 0.000 0.000 0.000 4.079" Properties=species:S:1:pos:R:3 comment="Gd3Mg3ZnPt2 (PBE, optimized geometry)" final_energy_ev_per_atom=-4.271 space_group="No. 189" density_g_cm3=8.3 pbc="T T T"
Pt 0.000 4.334 2.040
Pt 3.754 2.167 2.040
Gd 3.147 0.000 0.000
Gd 2.180 3.776 0.000
Gd -1.574 2.726 0.000
Mg -2.820 4.884 2.040
Mg 0.933 1.617 2.040
Mg 5.640 0.000 2.040
Zn 0.000 0.000 0.000


No. 10
8
Lattice="3.025 -7.745 0.000 3.025 7.745 0.000 0.000 0.000 4.665" Properties=species:S:1:pos:R:3 comment="LaGdGe2 (PBE, optimized geometry)" final_energy_ev_per_atom=-5.317 space_group="No. 63" density_g_cm3=6.7 pbc="T T T"
La 3.025 -5.013 1.166
La 3.025 5.013 3.499
Ge 3.025 -7.164 3.499
Ge 3.025 2.843 1.166
Ge 3.025 -2.843 3.499
Ge 3.025 7.164 1.166
Gd 3.025 -1.175 1.166
Gd 3.025 1.175 3.499


No. 11
12
Lattice="3.828 -2.052 4.336 -1.279 -5.847 1.358 0.967 2.882 -5.331" Properties=species:S:1:pos:R:3 comment="ZrOsO4 (PBE, optimized geometry)" final_energy_ev_per_atom=-8.466 space_group="No. 88" de_polymorph_kj_per_mol_fu=31 density_g_cm3=9.2 pbc="T T T"
O 0.592 -1.035 -3.922
O 2.131 -3.489 0.875
O 2.703 -5.504 2.271
O 1.450 -1.484 -0.487
O 0.747 0.450 -1.938
O 3.848 -1.072 -0.982
O 0.306 -5.922 2.770
O 2.288 -2.009 2.863
Zr 1.274 -3.949 2.847
Zr 0.482 -3.457 -0.563
Os 3.035 -1.559 0.926
Os 0.000 0.000 0.000


No. 12
6
Lattice="3.184 -1.838 0.000 3.184 1.838 0.000 0.000 0.000 24.284" Properties=species:S:1:pos:R:3 comment="Zr2Se3S (PBE, optimized geometry)" final_energy_ev_per_atom=-6.510 space_group="No. 8" de_polymorph_kj_per_mol_fu=87 density_g_cm3=2.6 pbc="T T T"
Se 4.724 0.000 1.669
Se 1.540 0.000 10.437
Se 1.540 0.000 13.847
S 4.724 0.000 22.701
Zr 0.479 0.000 24.200
Zr 3.663 0.000 12.142


No. 13
4
Lattice="0.000 3.482 3.482 3.482 0.000 3.482 3.482 3.482 0.000" Properties=species:S:1:pos:R:3 comment="LiNdPdPb (PBE, optimized geometry)" final_energy_ev_per_atom=-4.526 space_group="No. 216" density_g_cm3=9.1 pbc="T T T"
Nd 3.482 3.482 3.482
Pd 5.223 5.223 5.223
Pb 0.000 0.000 0.000
Li 1.741 1.741 1.741


No. 14
8
Lattice="-1.887 -2.527 -2.967 -2.211 -4.922 5.599 -5.082 3.027 0.654" Properties=species:S:1:pos:R:3 comment="PmPrPO (PBE, optimized geometry)" final_energy_ev_per_atom=-6.915 space_group="No. 26" de_polymorph_kj_per_mol_fu=0 density_g_cm3=5.5 pbc="T T T"
Pr -6.388 0.089 0.828
Pr -4.718 -3.364 2.707
P -3.903 -1.582 0.670
P -7.180 -1.707 2.861
O -4.850 1.837 1.520
O -3.774 -2.939 4.904
Pm -7.005 -1.305 5.568
Pm -2.793 0.902 1.008


No. 15
4
Lattice="-0.727 -2.886 3.448 -2.327 1.372 3.666 -4.187 -1.614 0.775" Properties=species:S:1:pos:R:3 comment="CoSiSnAu (PBE, optimized geometry)" final_energy_ev_per_atom=-4.588 space_group="No. 216" de_polymorph_kj_per_mol_fu=0 density_g_cm3=10.0 pbc="T T T"
Sn 0.000 0.000 0.000
Au -5.431 -2.346 5.916
Si -3.621 -1.564 3.944
Co -1.810 -0.782 1.972


No. 16
8
Lattice="4.719 0.000 0.000 0.000 4.719 0.000 0.000 0.000 4.686" Properties=species:S:1:pos:R:3 comment="TmLuNO (PBE, optimized geometry)" final_energy_ev_per_atom=-7.963 space_group="No. 129" de_polymorph_kj_per_mol_fu=0 density_g_cm3=11.9 pbc="T T T"
Lu 2.359 0.000 4.682
Lu 0.000 2.359 0.004
N 0.000 2.359 2.349
N 2.359 0.000 2.337
O 2.359 2.359 0.000
O 0.000 0.000 0.000
Tm 0.000 0.000 2.343
Tm 2.359 2.359 2.343


No. 17
4
Lattice="-1.762 -2.747 -3.155 -1.649 -3.506 3.974 -4.246 -1.159 3.381" Properties=species:S:1:pos:R:3 comment="SmZrPd2 (PBE, optimized geometry)" final_energy_ev_per_atom=-6.595 space_group="No. 38" density_g_cm3=8.9 pbc="T T T"
Pd -6.277 -5.644 5.154
Pd -0.527 -0.417 0.657
Zr -4.636 -4.345 3.107
Sm -2.113 -1.672 2.635


No. 18
24
Lattice="-3.377 0.354 -2.805 -2.138 -5.607 1.866 -7.191 5.869 9.397" Properties=species:S:1:pos:R:3 comment="LiHfIr2 (PBE, optimized geometry)" final_energy_ev_per_atom=-8.074 space_group="No. 139" de_polymorph_kj_per_mol_fu=0 density_g_cm3=15.5 pbc="T T T"
Hf -4.794 3.913 6.265
Hf -5.773 2.310 0.328
Hf -6.353 0.308 4.229
Hf 0.000 0.000 0.000
Hf -3.955 -1.649 1.097
Hf -8.750 2.264 7.361
Ir -2.223 -1.225 -0.936
Ir -7.596 0.685 9.230
Ir -8.086 -0.116 6.262
Ir -7.017 2.688 5.329
Ir -3.292 -4.029 -0.003
Ir -4.619 0.731 2.197
Ir -6.527 3.489 8.297
Ir -6.178 -2.874 0.161
Ir -5.688 -2.072 3.130
Ir -5.199 -1.271 6.098
Ir -4.130 1.533 5.165
Ir -5.109 -0.070 -0.772
Li -5.863 1.109 7.198
Li -2.886 1.155 0.164
Li -1.069 -2.804 0.933
Li -6.842 -0.494 1.261
Li -5.284 3.111 3.296
Li -7.681 5.068 6.428


No. 19
8
Lattice="3.647 2.105 6.526 -3.647 2.105 6.526 0.000 -4.211 6.526" Properties=species:S:1:pos:R:3 comment="CsOsBr6 (PBE, optimized geometry)" final_energy_ev_per_atom=-3.323 space_group="No. 166" density_g_cm3=4.4 pbc="T T T"
Cs 0.000 0.000 9.788
Os 0.000 0.000 0.000
Br -1.891 -1.092 14.483
Br 1.891 -1.092 14.483
Br 1.891 1.092 5.094
Br 0.000 -2.184 5.094
Br -1.891 1.092 5.094
Br 0.000 2.184 14.483


No. 20
4
Lattice="4.167 -3.758 -0.436 2.619 -1.847 4.627 -0.786 -5.289 1.757" Properties=species:S:1:pos:R:3 comment="CsLaAlAu (PBE, optimized geometry)" final_energy_ev_per_atom=-3.064 space_group="No. 216" de_polymorph_kj_per_mol_fu=28 density_g_cm3=6.5 pbc="T T T"
Al 1.500 -2.723 1.487
La 3.000 -5.447 2.974
Cs 0.000 0.000 0.000
Au 4.500 -8.170 4.461


No. 21
6
Lattice="4.907 0.000 0.000 0.000 2.623 4.506 0.000 -2.623 4.506" Properties=species:S:1:pos:R:3 comment="LiMgCd (PBE, optimized geometry)" final_energy_ev_per_atom=-1.626 space_group="No. 40" de_polymorph_kj_per_mol_fu=5 density_g_cm3=4.1 pbc="T T T"
Mg 1.227 1.692 4.505
Mg 3.680 -1.692 4.505
Cd 1.227 -0.915 6.047
Cd 3.680 0.915 6.047
Li 1.227 -0.898 2.965
Li 3.680 0.898 2.965